First-principles (GGA-PBEsol) data for crystalline NaGe2Ru2 at its relaxed geometry, as listed in Alexandria via LeMat-Bulk.

a b c (Å): 4.100 4.100 10.268
angles (deg): 90.00 90.00 90.00
Space group I4/mmm (No. 139)
Inequivalent atoms, fractional coordinates:
1 Na 0.000 0.000 0.000 x2
2 Ge 0.000 0.000 0.375 x4
3 Ru 0.000 0.500 0.250 x4

Summary:
Its crystal system is tetragonal. The formation energy from the elements comes out at -119 meV per atom.

=====

First-principles (GGA-PBEsol) data for crystalline KSiAs2S at its relaxed geometry, as listed in Alexandria via LeMat-Bulk.

a b c (Å): 4.631 4.631 6.078
angles (deg): 90.00 90.00 90.00
Space group P4/mmm (No. 123)
Inequivalent atoms, fractional coordinates:
1 K 0.000 0.000 0.000 x1
2 Si 0.000 0.000 0.500 x1
3 As 0.000 0.500 0.500 x2
4 S 0.500 0.500 0.000 x1

Summary:
Its uncorrected formation energy is 514 meV/atom. Its crystal system is tetragonal.

=====

First-principles (GGA-PBEsol) data for crystalline Zn2InP at its relaxed geometry, as listed in Alexandria via LeMat-Bulk.

a b c (Å): 4.192 4.192 3.940
angles (deg): 90.00 90.00 90.00
Space group P4/mmm (No. 123)
Inequivalent atoms, fractional coordinates:
1 Zn 0.000 0.500 0.000 x2
2 In 0.000 0.000 0.500 x1
3 P 0.500 0.500 0.500 x1

Summary:
Its crystal system is tetragonal. The formation energy from the elements comes out at 263 meV per atom.

=====

First-principles (GGA-PBEsol) data for crystalline Ba2SrSn2 at its relaxed geometry, as listed in Alexandria via LeMat-Bulk.

a b c (Å): 8.761 8.761 5.124
angles (deg): 90.00 90.00 90.00
Space group P4/mbm (No. 127)
Inequivalent atoms, fractional coordinates:
1 Ba 0.168 0.332 0.000 x4
2 Sr 0.000 0.000 0.500 x2
3 Sn 0.119 0.619 0.500 x4

Summary:
Its energy above the most stable polymorph in this dataset is 0.00 kJ/mol of atoms. Its crystal system is tetragonal. The formation energy from the elements comes out at -608 meV per atom.

=====

First-principles (GGA-PBEsol) data for crystalline SrTlCl3 at its relaxed geometry, as listed in Alexandria via LeMat-Bulk.

a b c (Å): 5.574 5.574 5.574
angles (deg): 90.00 90.00 90.00
Space group Pm-3m (No. 221)
Inequivalent atoms, fractional coordinates:
1 Sr 0.000 0.000 0.000 x1
2 Tl 0.500 0.500 0.500 x1
3 Cl 0.000 0.500 0.500 x3

Summary:
Its uncorrected formation energy is -1139 meV/atom. Its crystal system is cubic.

=====

First-principles (GGA-PBEsol) data for crystalline Cr2AgOs at its relaxed geometry, as listed in Alexandria via LeMat-Bulk.

a b c (Å): 2.687 3.671 5.467
angles (deg): 90.00 90.00 90.00
Space group Pmm2 (No. 25)
Inequivalent atoms, fractional coordinates:
1 Cr 0.000 0.000 0.000 x1
2 Cr 0.500 0.500 0.218 x1
3 Ag 0.500 0.500 0.724 x1
4 Os 0.000 0.000 0.421 x1

Summary:
Its crystal system is orthorhombic. The formation energy from the elements comes out at 456 meV per atom.

=====

First-principles (GGA-PBEsol) data for crystalline Co2TeCl at its relaxed geometry, as listed in Alexandria via LeMat-Bulk.

a b c (Å): 3.2682 3.2682 20.1118
angles (deg): 90.00 90.00 120.00
Space group R-3m (No. 166, hexagonal axes)
Inequivalent atoms, fractional coordinates:
1 Co 0.0000 0.0000 0.2493 x6
2 Te 0.0000 0.0000 0.5000 x3
3 Cl 0.0000 0.0000 0.0000 x3

Summary:
Its uncorrected formation energy is 251 meV/atom. Its crystal system is trigonal.

=====

First-principles (GGA-PBEsol) data for crystalline TaTl2Sb at its relaxed geometry, as listed in Alexandria via LeMat-Bulk.

a b c (Å): 3.482 3.482 8.045
angles (deg): 90.00 90.00 90.00
Space group P4mm (No. 99)
Inequivalent atoms, fractional coordinates:
1 Ta 0.000 0.000 0.000 x1
2 Tl 0.000 0.000 0.540 x1
3 Tl 0.500 0.500 0.237 x1
4 Sb 0.500 0.500 0.833 x1

Summary:
Its uncorrected formation energy is 273 meV/atom. Its energy above the most stable polymorph in this dataset is 0.00 kJ/mol of atoms. Its crystal system is tetragonal.

=====

First-principles (GGA-PBEsol) data for crystalline Li2Si at its relaxed geometry, as listed in Alexandria via LeMat-Bulk.

a b c (Å): 7.5102 7.5102 2.6332
angles (deg): 90.00 90.00 120.00
Space group P-62m (No. 189)
Inequivalent atoms, fractional coordinates:
1 Li 0.0000 0.3626 0.0000 x3
2 Li 0.0000 0.6967 0.5000 x3
3 Si 0.0000 0.0000 0.0000 x1
4 Si 0.3333 0.6667 0.5000 x2

Summary:
Its uncorrected formation energy is -202 meV/atom. Its crystal system is hexagonal.

=====

First-principles (GGA-PBEsol) data for crystalline FeSiSn2I at its relaxed geometry, as listed in Alexandria via LeMat-Bulk.

a b c (Å): 5.675 5.675 5.217
angles (deg): 90.00 90.00 90.00
Space group P4/mmm (No. 123)
Inequivalent atoms, fractional coordinates:
1 Fe 0.000 0.000 0.000 x1
2 Si 0.500 0.500 0.000 x1
3 Sn 0.000 0.500 0.500 x2
4 I 0.500 0.500 0.500 x1

Summary:
Its uncorrected formation energy is 1742 meV/atom. Its crystal system is tetragonal.

=====

First-principles (GGA-PBEsol) data for crystalline HfCuIN2 at its relaxed geometry, as listed in Alexandria via LeMat-Bulk.

a b c (Å): 4.022 4.022 6.019
angles (deg): 90.00 90.00 90.00
Space group P4/mmm (No. 123)
Inequivalent atoms, fractional coordinates:
1 Hf 0.000 0.000 0.000 x1
2 Cu 0.500 0.500 0.500 x1
3 I 0.000 0.000 0.500 x1
4 N 0.000 0.500 0.000 x2

Summary:
Its uncorrected formation energy is 426 meV/atom. Its crystal system is tetragonal.

=====

First-principles (GGA-PBEsol) data for crystalline SbTe2RuAu at its relaxed geometry, as listed in Alexandria via LeMat-Bulk.

a b c (Å): 5.307 5.307 5.176
angles (deg): 90.00 90.00 90.00
Space group P4/mmm (No. 123)
Inequivalent atoms, fractional coordinates:
1 Sb 0.000 0.000 0.000 x1
2 Te 0.000 0.500 0.500 x2
3 Ru 0.500 0.500 0.000 x1
4 Au 0.000 0.000 0.500 x1

Summary:
Its uncorrected formation energy is 1390 meV/atom. Its energy above the most stable polymorph in this dataset is 71.33 kJ/mol of atoms. Its crystal system is tetragonal.

=====

First-principles (GGA-PBEsol) data for crystalline MnIn2Si at its relaxed geometry, as listed in Alexandria via LeMat-Bulk.

a b c (Å): 5.013 5.013 2.982
angles (deg): 90.00 90.00 90.00
Space group P4/mmm (No. 123)
Inequivalent atoms, fractional coordinates:
1 Mn 0.000 0.000 0.000 x1
2 In 0.000 0.500 0.500 x2
3 Si 0.500 0.500 0.000 x1

Summary:
Its uncorrected formation energy is 429 meV/atom. Its energy above the most stable polymorph in this dataset is 0.00 kJ/mol of atoms. Its crystal system is tetragonal.

=====

First-principles (GGA-PBEsol) data for crystalline MnCo2Au at its relaxed geometry, as listed in Alexandria via LeMat-Bulk.

a b c (Å): 2.689 3.456 5.449
angles (deg): 90.00 90.00 90.00
Space group Pmm2 (No. 25)
Inequivalent atoms, fractional coordinates:
1 Mn 0.000 0.000 0.000 x1
2 Co 0.000 0.000 0.568 x1
3 Co 0.500 0.500 0.764 x1
4 Au 0.500 0.500 0.282 x1

Summary:
Its crystal system is orthorhombic. The formation energy from the elements comes out at 163 meV per atom.

=====

First-principles (GGA-PBEsol) data for crystalline CuNi2Rh at its relaxed geometry, as listed in Alexandria via LeMat-Bulk.

a b c (Å): 2.653 4.181 4.182
angles (deg): 90.00 90.00 90.00
Space group Pmmm (No. 47)
Inequivalent atoms, fractional coordinates:
1 Cu 0.000 0.000 0.000 x1
2 Ni 0.000 0.500 0.500 x1
3 Ni 0.500 0.500 0.000 x1
4 Rh 0.500 0.000 0.500 x1

Summary:
Its crystal system is orthorhombic. The formation energy from the elements comes out at 155 meV per atom.

=====

First-principles (GGA-PBEsol) data for crystalline BaAs2 at its relaxed geometry, as listed in Alexandria via LeMat-Bulk.

a b c (Å): 3.788 3.788 11.059
angles (deg): 90.00 90.00 90.00
Space group I4/mmm (No. 139)
Inequivalent atoms, fractional coordinates:
1 Ba 0.000 0.000 0.000 x2
2 As 0.000 0.000 0.284 x4

Summary:
Its crystal system is tetragonal. The formation energy from the elements comes out at -561 meV per atom.

=====

First-principles (GGA-PBEsol) data for crystalline Ti6Al16Rh7 at its relaxed geometry, as listed in Alexandria via LeMat-Bulk.

a b c (Å): 12.004 12.004 12.004
angles (deg): 90.00 90.00 90.00
Space group Fm-3m (No. 225)
Inequivalent atoms, fractional coordinates:
1 Ti 0.000 0.000 0.179 x24
2 Al 0.120 0.120 0.380 x32
3 Al 0.158 0.158 0.158 x32
4 Rh 0.000 0.000 0.500 x4
5 Rh 0.000 0.250 0.250 x24

Summary:
Its crystal system is cubic. The formation energy from the elements comes out at -736 meV per atom.

=====

First-principles (GGA-PBEsol) data for crystalline MgTlIn2 at its relaxed geometry, as listed in Alexandria via LeMat-Bulk.

a b c (Å): 3.678 5.152 10.550
angles (deg): 90.00 90.00 90.00
Space group Immm (No. 71)
Inequivalent atoms, fractional coordinates:
1 Mg 0.000 0.000 0.000 x2
2 Tl 0.000 0.000 0.500 x2
3 In 0.000 0.500 0.258 x4

Summary:
Its crystal system is orthorhombic. The formation energy from the elements comes out at -23 meV per atom.

=====

First-principles (GGA-PBEsol) data for crystalline AlPPt2 at its relaxed geometry, as listed in Alexandria via LeMat-Bulk.

a b c (Å): 2.9283 2.9283 23.4248
angles (deg): 90.00 90.00 120.00
Space group R-3m (No. 166, hexagonal axes)
Inequivalent atoms, fractional coordinates:
1 Al 0.0000 0.0000 0.0000 x3
2 P 0.0000 0.0000 0.5000 x3
3 Pt 0.0000 0.0000 0.2487 x6

Summary:
Its energy above the most stable polymorph in this dataset is 8.22 kJ/mol of atoms. Its crystal system is trigonal. The formation energy from the elements comes out at -444 meV per atom.

=====

First-principles (GGA-PBEsol) data for crystalline KNb3S at its relaxed geometry, as listed in Alexandria via LeMat-Bulk.

a b c (Å): 4.586 4.586 4.586
angles (deg): 90.00 90.00 90.00
Space group Pm-3m (No. 221)
Inequivalent atoms, fractional coordinates:
1 K 0.000 0.000 0.000 x1
2 Nb 0.000 0.000 0.500 x3
3 S 0.500 0.500 0.500 x1

Summary:
Its uncorrected formation energy is 2668 meV/atom. Its crystal system is cubic.

=====

First-principles (GGA-PBEsol) data for crystalline CaScCu2 at its relaxed geometry, as listed in Alexandria via LeMat-Bulk.

a b c (Å): 3.324 3.324 6.797
angles (deg): 90.00 90.00 90.00
Space group P4/mmm (No. 123)
Inequivalent atoms, fractional coordinates:
1 Ca 0.000 0.000 0.000 x1
2 Sc 0.000 0.000 0.500 x1
3 Cu 0.500 0.500 0.298 x2

Summary:
Its energy above the most stable polymorph in this dataset is 0.00 kJ/mol of atoms. Its crystal system is tetragonal. The formation energy from the elements comes out at -142 meV per atom.

=====

First-principles (GGA-PBEsol) data for crystalline OsPb2W at its relaxed geometry, as listed in Alexandria via LeMat-Bulk.

a b c (Å): 3.094 3.094 9.060
angles (deg): 90.00 90.00 90.00
Space group P4mm (No. 99)
Inequivalent atoms, fractional coordinates:
1 Os 0.000 0.000 0.000 x1
2 Pb 0.000 0.000 0.598 x1
3 Pb 0.500 0.500 0.240 x1
4 W 0.500 0.500 0.849 x1

Summary:
Its crystal system is tetragonal. The formation energy from the elements comes out at 395 meV per atom.

=====

First-principles (GGA-PBEsol) data for crystalline CrHg2Ru at its relaxed geometry, as listed in Alexandria via LeMat-Bulk.

a b c (Å): 2.940 4.752 9.597
angles (deg): 90.00 90.00 90.00
Space group Imm2 (No. 44)
Inequivalent atoms, fractional coordinates:
1 Cr 0.000 0.000 0.000 x2
2 Hg 0.000 0.000 0.539 x2
3 Hg 0.000 0.500 0.760 x2
4 Ru 0.000 0.500 0.305 x2

Summary:
Its energy above the most stable polymorph in this dataset is 0.00 kJ/mol of atoms. Its crystal system is orthorhombic. The formation energy from the elements comes out at 508 meV per atom.

=====

First-principles (GGA-PBEsol) data for crystalline BaLiZrBi2 at its relaxed geometry, as listed in Alexandria via LeMat-Bulk.

a b c (Å): 5.627 5.627 5.445
angles (deg): 90.00 90.00 90.00
Space group P4/mmm (No. 123)
Inequivalent atoms, fractional coordinates:
1 Ba 0.000 0.000 0.000 x1
2 Li 0.500 0.500 0.000 x1
3 Zr 0.500 0.500 0.500 x1
4 Bi 0.000 0.500 0.500 x2

Summary:
Its crystal system is tetragonal. The formation energy from the elements comes out at -165 meV per atom.

=====

First-principles (GGA-PBEsol) data for crystalline Tl2CrCl at its relaxed geometry, as listed in Alexandria via LeMat-Bulk.

a b c (Å): 3.576 5.551 9.625
angles (deg): 90.00 90.00 90.00
Space group Cmm2 (No. 35)
Inequivalent atoms, fractional coordinates:
1 Tl 0.000 0.000 0.000 x2
2 Tl 0.000 0.500 0.285 x2
3 Cr 0.000 0.000 0.520 x2
4 Cl 0.000 0.500 0.680 x2

Summary:
Its uncorrected formation energy is 40 meV/atom. Its energy above the most stable polymorph in this dataset is 0.00 kJ/mol of atoms. Its crystal system is orthorhombic.

=====

First-principles (GGA-PBEsol) data for crystalline KSnIr3 at its relaxed geometry, as listed in Alexandria via LeMat-Bulk.

a b c (Å): 4.676 4.676 4.676
angles (deg): 90.00 90.00 90.00
Space group Pm-3m (No. 221)
Inequivalent atoms, fractional coordinates:
1 K 0.000 0.000 0.000 x1
2 Sn 0.500 0.500 0.500 x1
3 Ir 0.000 0.000 0.500 x3

Summary:
Its crystal system is cubic. The formation energy from the elements comes out at 2872 meV per atom.

=====

First-principles (GGA-PBEsol) data for crystalline TcHgH2Br at its relaxed geometry, as listed in Alexandria via LeMat-Bulk.

a b c (Å): 3.740 3.740 7.118
angles (deg): 90.00 90.00 90.00
Space group P4/mmm (No. 123)
Inequivalent atoms, fractional coordinates:
1 Tc 0.000 0.000 0.000 x1
2 Hg 0.500 0.500 0.000 x1
3 H 0.000 0.500 0.500 x2
4 Br 0.500 0.500 0.500 x1

Summary:
The total energy is -2.86 eV/atom. Its crystal system is tetragonal.

=====

First-principles (GGA-PBEsol) data for crystalline PrBiPd at its relaxed geometry, as listed in Alexandria via LeMat-Bulk.

a b c (Å): 6.784 6.784 6.784
angles (deg): 90.00 90.00 90.00
Space group F-43m (No. 216)
Inequivalent atoms, fractional coordinates:
1 Pr 0.000 0.000 0.000 x4
2 Bi 0.000 0.000 0.500 x4
3 Pd 0.250 0.250 0.750 x4

Summary:
Its crystal system is cubic. The formation energy from the elements comes out at -952 meV per atom.

=====

The evaluated total magnetization for the records listed, in turn: 0.00; 0.00; 0.00; 0.01; 0.00; 0.00; 1.54; 0.00; 0.00; 3.19; 0.00; 2.47; 3.39; 6.47; 1.41; 0.00; 0.00; 0.00; 0.00; 0.00; 0.00; 0.00; 2.30; 0.44; 4.04; 1.23; 2.71; 0.00 μB per formula unit.